# 1
Below is Cu3Hg after structural relaxation, with properties calculated at the PBE level.

Unit cell a=2.8799 b=4.5781 c=5.1625 alpha=116.32 beta=106.20 gamma=90.00
Last column: nearest neighbours and their distance in Å.
Atoms (fractional coordinates):
Cu 0.0120 0.0426 0.0239  8 Cu 2.59-2.88, 3 Hg 2.76-2.77
Cu 0.4880 0.5187 0.9761  8 Cu 2.59-2.88, 3 Hg 2.76-2.77
Cu 0.7500 0.3889 0.5000  6 Cu 2.59-2.88, 4 Hg 2.68-2.73
Hg 0.2500 0.8831 0.5000  10 Cu 2.68-2.77, 2 Hg 2.88

Calculated values
Energy of formation   0.1726 eV per atom
Space-group type   No. 44

=====

# 2
Below is CuHg after structural relaxation, with properties calculated at the PBE level.

Unit cell a=3.0514 b=6.2610 c=7.5545 alpha=90.00 beta=90.00 gamma=90.00
Last column: nearest neighbours and their distance in Å.
Atoms (fractional coordinates):
Cu 0.2500 0.6545 0.9622  2 Cu 2.53, 5 Hg 2.76-2.79
Cu 0.7500 0.8455 0.4622  2 Cu 2.53, 5 Hg 2.76-2.79
Cu 0.7500 0.3455 0.0378  2 Cu 2.53, 5 Hg 2.76-2.79
Cu 0.2500 0.1545 0.5378  2 Cu 2.53, 5 Hg 2.76-2.79
Hg 0.2500 0.5226 0.3104  6 Cu 2.76-2.87, 2 Hg 3.05
Hg 0.7500 0.9774 0.8104  6 Cu 2.76-2.87, 2 Hg 3.05
Hg 0.7500 0.4774 0.6896  6 Cu 2.76-2.87, 2 Hg 3.05
Hg 0.2500 0.0226 0.1896  6 Cu 2.76-2.87, 2 Hg 3.05

Calculated values
Energy of formation   0.2037 eV per atom
Space-group type   No. 62